Entry 1:
TaAg2P: optimized geometry, GGA-PBE.

Structure (CIF):
```
data_TaAg2P
_space_group_name_H-M_alt 'P 1'
_space_group_IT_number 1
_space_group_name_Hall 'P 1'
_cell_length_a 4.7032
_cell_length_b 2.8891
_cell_length_c 5.1973
_cell_angle_alpha 73.52
_cell_angle_beta 90.00
_cell_angle_gamma 90.00
loop_
_atom_site_label
_atom_site_fract_x
_atom_site_fract_y
_atom_site_fract_z
Ag1 0.0000 0.1345 0.0114
Ag2 0.0000 0.3655 0.4886
P1 0.5000 0.2500 0.2500
Ta1 0.5000 0.7500 0.7500
```

=====

Entry 2:
TaAg2P: optimized geometry, GGA-PBE.

Structure (CIF):
```
data_TaAg2P
_space_group_name_H-M_alt 'P 1'
_space_group_IT_number 1
_space_group_name_Hall 'P 1'
_cell_length_a 4.8762
_cell_length_b 4.8762
_cell_length_c 5.3675
_cell_angle_alpha 70.37
_cell_angle_beta 70.37
_cell_angle_gamma 35.22
loop_
_atom_site_label
_atom_site_fract_x
_atom_site_fract_y
_atom_site_fract_z
Ag1 0.9912 0.9912 0.0257
Ag2 0.2225 0.2225 0.2110
P1 0.5113 0.5113 0.6029
Ta1 0.7750 0.7750 0.6604
```

=====

Entry 3:
TaAg2P: optimized geometry, GGA-PBE.

Structure (CIF):
```
data_TaAg2P
_space_group_name_H-M_alt 'P 1'
_space_group_IT_number 1
_space_group_name_Hall 'P 1'
_cell_length_a 2.8292
_cell_length_b 2.8292
_cell_length_c 8.6225
_cell_angle_alpha 90.00
_cell_angle_beta 90.00
_cell_angle_gamma 90.00
loop_
_atom_site_label
_atom_site_fract_x
_atom_site_fract_y
_atom_site_fract_z
Ag1 0.0000 0.0000 0.0071
Ag2 0.0000 0.0000 0.4929
P1 0.5000 0.5000 0.2500
Ta1 0.5000 0.5000 0.7500
```

=====

Entry 4:
TaAgP: optimized geometry, GGA-PBE.

Output
The offset from the most stable computed form is 430.9 meV/atom.

Structure (CIF):
```
data_TaAgP
_space_group_name_H-M_alt 'P 1'
_space_group_IT_number 1
_space_group_name_Hall 'P 1'
_cell_length_a 4.3370
_cell_length_b 4.3370
_cell_length_c 4.3370
_cell_angle_alpha 60.00
_cell_angle_beta 60.00
_cell_angle_gamma 60.00
loop_
_atom_site_label
_atom_site_fract_x
_atom_site_fract_y
_atom_site_fract_z
Ag1 0.0000 0.0000 0.0000
P1 0.5000 0.5000 0.5000
Ta1 0.7500 0.7500 0.7500
```

=====

The following ΔE_f values (in eV/atom) correspond, in order, to the records above: 0.252 0.170 0.378 0.425.
The following calculated density values (in Mg/m³) correspond, in order, to the records above: 10.49 10.31 10.29 9.21.